Below is an optimized crystal structure of Th2TiVN5, with properties calculated at the PBE level.

* formation energy without anion corrections: -137 kJ per mole of atoms
* DOS(E_F): 16.6 states/eV per cell

```
data_Th2TiVN5
_symmetry_space_group_name_H-M 'C m c 21'
_symmetry_Int_Tables_number 36
_symmetry_space_group_name_Hall 'C 2c -2'
_cell_length_a 3.3869
_cell_length_b 13.5039
_cell_length_c 10.1093
_cell_angle_alpha 90.00
_cell_angle_beta 90.00
_cell_angle_gamma 90.00
loop_
_atom_site_label
_atom_site_fract_x
_atom_site_fract_y
_atom_site_fract_z
Th1 0.0000 0.1157 0.0000
Th2 0.0000 0.1416 0.6203
Ti1 0.0000 0.2082 0.3258
V1 0.0000 0.4573 0.7769
N1 0.0000 0.0504 0.3607
N2 0.0000 0.2878 0.9733
N3 0.0000 0.3176 0.6965
N4 0.0000 0.3584 0.3194
N5 0.0000 0.4965 0.1058
```